Record 1
This record from the Open Quantum Materials Database describes crystalline LaPrCu2As4 at its relaxed geometry. The functional is PBE-GGA.

- space-group type = P4mm, No. 99

abc: 4.0058 4.0058 10.2705
angles: 90.00 90.00 90.00
With the nearest neighbours (Å) after each atom.
Sites, in units of the cell vectors:
1 As 0.5000 0.0000 0.0020  4 As 2.83, 2 Pr 3.16
2 Cu 0.5000 0.0000 0.4994  4 As 2.51
3 Pr 0.0000 0.0000 0.2393  8 As 3.06-3.16, 4 Cu 3.34
4 As 0.5000 0.5000 0.3519  4 Cu 2.51
5 As 0.0000 0.5000 0.0020  4 As 2.83, 2 Pr 3.16
6 As 0.0000 0.0000 0.6459  4 Cu 2.51
7 La 0.5000 0.5000 0.7602  8 As 3.07-3.19, 4 Cu 3.34
8 Cu 0.0000 0.5000 0.4994  4 As 2.51



Record 2
This record from the Open Quantum Materials Database describes crystalline LaCu2SbAs at its relaxed geometry. The functional is PBE-GGA.

- space-group type = P4/nmm, No. 129

abc: 4.5151 4.5151 9.9852
angles: 90.00 90.00 90.00
With the nearest neighbours (Å) after each atom.
Sites, in units of the cell vectors:
1 La 0.0000 0.5000 0.7643  4 As 3.26, 9 Cu 3.41-3.47, 4 Sb 3.43
2 Cu 0.0000 0.0000 0.5000  4 Sb 2.65
3 Cu 0.5000 0.5000 0.5000  4 Sb 2.65
4 As 0.0000 0.0000 0.0000  4 Cu 2.49
5 As 0.5000 0.5000 0.0000  4 Cu 2.49
6 Sb 0.5000 0.0000 0.6394  5 Cu 2.55-2.65
7 Cu 0.0000 0.5000 0.1054  4 As 2.49, 1 Sb 2.55
8 Sb 0.0000 0.5000 0.3606  5 Cu 2.55-2.65
9 La 0.5000 0.0000 0.2357  4 As 3.26, 9 Cu 3.41-3.47, 4 Sb 3.43
10 Cu 0.5000 0.0000 0.8946  4 As 2.49, 1 Sb 2.55



Record 3
This record from the Open Quantum Materials Database describes crystalline LaTbCu2As4 at its relaxed geometry. The functional is PBE-GGA.

- space-group type = P4mm, No. 99

abc: 3.9698 3.9698 10.1021
angles: 90.00 90.00 90.00
With the nearest neighbours (Å) after each atom.
Sites, in units of the cell vectors:
1 Cu 0.5000 0.0000 0.4937  4 As 2.50-2.52
2 Cu 0.0000 0.5000 0.4937  4 As 2.50-2.52
3 La 0.5000 0.5000 0.7642  8 As 3.06-3.19, 4 Cu 3.38
4 As 0.0000 0.5000 0.0114  4 As 2.81, 2 Tb 3.05
5 As 0.5000 0.0000 0.0114  4 As 2.81, 2 Tb 3.05
6 As 0.5000 0.5000 0.3401  4 Cu 2.52
7 As 0.0000 0.0000 0.6446  4 Cu 2.50
8 Tb 0.0000 0.0000 0.2407  8 As 2.98-3.05, 4 Cu 3.24



Result set for total DFT energy (no corrections): -5.321, -4.839, -5.301 eV/atom, one per record in the order listed.
Result set for V: 164.81, 203.56, 159.20 Å³/cell, one per record in the order listed.